The following is a PBE calculation of YAuO2 after structural relaxation, from Alexandria.

Structure (POSCAR):
```
YAuO2
1.0
-2.4643 2.4643 5.8281
2.4643 -2.4643 5.8281
2.4643 2.4643 -5.8281
Y Au O
2 2 4
Cartesian
0.0000 0.0000 0.0000
0.0000 2.4643 2.9141
2.4643 0.0000 2.9141
0.0000 0.0000 5.8281
3.6964 1.0489 -1.4570
1.0489 1.2321 1.4570
-1.2321 1.4154 4.3711
1.4154 1.2321 7.2851
```

Summary:
The density comes out at 7.46 Mg/m³. The calculation puts the final energy at -6.65 eV per atom. The density of states at the Fermi level comes out at 1.89 states/eV/f.u. The value obtained for the raw formation energy is -1.734 eV/atom.